Entry 1:
A geometry-optimized ThAgSnN structure. Source: the Alexandria database, functional GGA-PBE.

a b c (Å): 3.3747 3.3747 14.7714
angles (deg): 90.00 90.00 90.00
Space group I4mm (No. 107)
Asymmetric unit:
Th1 0.0000 0.0000 0.0000
Ag1 0.0000 0.0000 0.6898
Sn1 0.0000 0.0000 0.3092
N1 0.0000 0.0000 0.5361

Electronic total energy ... -6.231 eV per atom
Spin magnetization ... 0.0 μB per formula unit
N(E_F) ... 1.41 states/eV/cell
Crystal system ... tetragonal

Entry 2:
A geometry-optimized BAsAuSe2 structure. Source: the Alexandria database, functional GGA-PBE.

a b c (Å): 4.5960 4.5960 4.3461
angles (deg): 90.00 90.00 90.00
Space group P4/mmm (No. 123)
Asymmetric unit:
B1 0.0000 0.0000 0.0000
As1 0.5000 0.5000 0.5000
Au1 0.0000 0.0000 0.5000
Se1 0.0000 0.5000 0.0000

Electronic total energy ... -3.590 eV per atom
Spin magnetization ... 0.0 μB per formula unit
N(E_F) ... 2.76 states/eV/cell
Crystal system ... tetragonal
Relative energy among the computed polymorphs ... 0.000 eV/atom

Entry 3:
A geometry-optimized KLaCo2 structure. Source: the Alexandria database, functional GGA-PBE.

a b c (Å): 4.9523 4.9523 18.0714
angles (deg): 90.00 90.00 90.00
Space group I4_1/amd (No. 141, origin choice 2)
Asymmetric unit:
K1 0.0000 0.2500 0.3750
La1 0.0000 0.2500 0.8750
Co1 0.0000 0.0000 0.0000

Calculated formation energy ... 0.761 eV/atom
Electronic total energy ... -4.298 eV per atom
Spin magnetization ... 2.0 μB per formula unit
N(E_F) ... 21.29 states/eV/cell
Crystal system ... tetragonal
Relative energy among the computed polymorphs ... 0.541 eV/atom

Entry 4:
A geometry-optimized Pa2GaSb structure. Source: the Alexandria database, functional GGA-PBE.

a b c (Å): 4.2748 4.2748 20.7429
angles (deg): 90.00 90.00 120.00
Space group R-3m (No. 166, hexagonal axes)
Asymmetric unit:
Pa1 0.0000 0.0000 0.2422
Ga1 0.0000 0.0000 0.5000
Sb1 0.0000 0.0000 0.0000

Electronic total energy ... -6.731 eV per atom
Spin magnetization ... 0.0 μB per formula unit
N(E_F) ... 19.32 states/eV/cell
Crystal system ... trigonal
Relative energy among the computed polymorphs ... 0.048 eV/atom

Entry 5:
A geometry-optimized LaTlS2 structure. Source: the Alexandria database, functional GGA-PBE.

a b c (Å): 7.2474 7.2474 7.2474
angles (deg): 90.00 90.00 90.00
Space group Fm-3m (No. 225)
Asymmetric unit:
La1 0.0000 0.0000 0.0000
Tl1 0.0000 0.0000 0.5000
S1 0.2500 0.2500 0.2500

Electronic total energy ... -5.175 eV per atom
Spin magnetization ... 0.0 μB per formula unit
N(E_F) ... 0.00 states/eV/cell
Crystal system ... cubic

Entry 6:
A geometry-optimized Er6CdPd12 structure. Source: the Alexandria database, functional GGA-PBE.

a b c (Å): 10.8654 10.8654 10.9689
angles (deg): 90.00 90.00 120.00
Space group R-3 (No. 148, hexagonal axes)
Asymmetric unit:
Er1 0.0095 0.5792 0.2447
Cd1 0.0000 0.0000 0.5000
Pd1 0.0628 0.8678 0.3242
Pd2 0.0650 0.1756 0.8889

Calculated formation energy ... -0.735 eV/atom
Electronic total energy ... -5.503 eV per atom
Spin magnetization ... 0.0 μB per formula unit
N(E_F) ... 28.15 states/eV/cell
Crystal system ... trigonal

Entry 7:
A geometry-optimized Ca2LaBO structure. Source: the Alexandria database, functional GGA-PBE.

a b c (Å): 5.0905 5.0905 5.0276
angles (deg): 90.00 90.00 90.00
Space group P4/mmm (No. 123)
Asymmetric unit:
Ca1 0.0000 0.5000 0.0000
La1 0.0000 0.0000 0.5000
B1 0.0000 0.0000 0.0000
O1 0.5000 0.5000 0.5000

Electronic total energy ... -4.137 eV per atom
Spin magnetization ... 0.0 μB per formula unit
N(E_F) ... 3.10 states/eV/cell
Crystal system ... tetragonal

Entry 8:
A geometry-optimized Ca2TmPbSe4 structure. Source: the Alexandria database, functional GGA-PBE.

a b c (Å): 7.2660 4.1929 7.3642
angles (deg): 90.00 109.38 90.00
Space group P2/m (No. 10)
Asymmetric unit:
Ca1 0.0000 0.0000 0.0000
Ca2 0.0000 0.5000 0.5000
Tm1 0.5000 0.0000 0.5000
Pb1 0.5000 0.5000 0.0000
Se1 0.2476 0.0000 0.7343
Se2 0.2554 0.5000 0.2633

Electronic total energy ... -4.770 eV per atom
Spin magnetization ... 0.0 μB per formula unit
N(E_F) ... 3.22 states/eV/cell
Crystal system ... monoclinic

Entry 9:
A geometry-optimized CaGa3Ag structure. Source: the Alexandria database, functional GGA-PBE.

a b c (Å): 5.5237 5.5237 5.5237
angles (deg): 90.00 90.00 90.00
Space group Pm-3m (No. 221)
Asymmetric unit:
Ca1 0.0000 0.0000 0.0000
Ga1 0.0000 0.0000 0.5000
Ag1 0.5000 0.5000 0.5000

Calculated formation energy ... 0.872 eV/atom
Electronic total energy ... -1.915 eV per atom
Spin magnetization ... 0.0 μB per formula unit
N(E_F) ... 3.98 states/eV/cell
Crystal system ... cubic

Entry 10:
A geometry-optimized BaPuCdO6 structure. Source: the Alexandria database, functional GGA-PBE.

a b c (Å): 5.7612 5.7612 11.2853
angles (deg): 90.00 90.00 120.00
Space group P-31c (No. 163)
Asymmetric unit:
Ba1 0.0000 0.0000 0.0000
Pu1 0.3333 0.6667 0.2500
Cd1 0.3333 0.6667 0.7500
O1 0.0440 0.3952 0.1479

Electronic total energy ... -7.231 eV per atom
Spin magnetization ... 0.0 μB per formula unit
N(E_F) ... 3.32 states/eV/cell
Crystal system ... trigonal

Entry 11:
A geometry-optimized Li2HgSe structure. Source: the Alexandria database, functional GGA-PBE.

a b c (Å): 7.1385 4.1256 6.7453
angles (deg): 90.00 110.15 90.00
Space group C2/m (No. 12)
Asymmetric unit:
Li1 0.2104 0.0000 0.1345
Hg1 0.0000 0.0000 0.5000
Se1 0.0000 0.5000 0.0000

Electronic total energy ... -2.716 eV per atom
Spin magnetization ... 0.0 μB per formula unit
Crystal system ... monoclinic
Relative energy among the computed polymorphs ... 0.000 eV/atom

Entry 12:
A geometry-optimized Cs2HgI4 structure. Source: the Alexandria database, functional GGA-PBE.

a b c (Å): 6.1360 6.1360 19.0019
angles (deg): 90.00 90.00 90.00
Space group I4/mmm (No. 139)
Asymmetric unit:
Cs1 0.0000 0.0000 0.1364
Hg1 0.0000 0.0000 0.5000
I1 0.0000 0.0000 0.3417
I2 0.0000 0.5000 0.0000

Electronic total energy ... -2.158 eV per atom
Spin magnetization ... 0.0 μB per formula unit
Crystal system ... tetragonal
Relative energy among the computed polymorphs ... 0.062 eV/atom

Entry 13:
A geometry-optimized PmPr2TlN structure. Source: the Alexandria database, functional GGA-PBE.

a b c (Å): 5.0880 5.0880 4.9983
angles (deg): 90.00 90.00 90.00
Space group P4/mmm (No. 123)
Asymmetric unit:
Pm1 0.0000 0.0000 0.0000
Pr1 0.0000 0.5000 0.5000
Tl1 0.5000 0.5000 0.0000
N1 0.0000 0.0000 0.5000

Electronic total energy ... -5.802 eV per atom
Spin magnetization ... 0.0 μB per formula unit
N(E_F) ... 2.54 states/eV/cell
Crystal system ... tetragonal

Entry 14:
A geometry-optimized Ho2TcSn structure. Source: the Alexandria database, functional GGA-PBE.

a b c (Å): 3.4168 3.4168 31.2849
angles (deg): 90.00 90.00 120.00
Space group R-3m (No. 166, hexagonal axes)
Asymmetric unit:
Ho1 0.0000 0.0000 0.1025
Tc1 0.0000 0.0000 0.5000
Sn1 0.0000 0.0000 0.0000

Calculated formation energy ... 0.139 eV/atom
Electronic total energy ... -5.742 eV per atom
Spin magnetization ... 0.0 μB per formula unit
N(E_F) ... 13.98 states/eV/cell
Crystal system ... trigonal
Relative energy among the computed polymorphs ... 0.476 eV/atom

Entry 15:
A geometry-optimized SbOs2W structure. Source: the Alexandria database, functional GGA-PBE.

a b c (Å): 3.0047 4.6049 4.7210
angles (deg): 90.00 90.00 90.00
Space group Pmmm (No. 47)
Asymmetric unit:
Sb1 0.0000 0.0000 0.0000
Os1 0.0000 0.5000 0.5000
Os2 0.5000 0.5000 0.0000
W1 0.5000 0.0000 0.5000

Electronic total energy ... -9.237 eV per atom
Spin magnetization ... 0.0 μB per formula unit
N(E_F) ... 3.48 states/eV/cell
Crystal system ... orthorhombic

Entry 16:
A geometry-optimized Rb2GaCoCu structure. Source: the Alexandria database, functional GGA-PBE.

a b c (Å): 6.4738 6.4738 4.5271
angles (deg): 90.00 90.00 90.00
Space group P4/mmm (No. 123)
Asymmetric unit:
Rb1 0.0000 0.5000 0.0000
Ga1 0.0000 0.0000 0.5000
Co1 0.5000 0.5000 0.0000
Cu1 0.5000 0.5000 0.5000

Calculated formation energy ... 0.874 eV/atom
Electronic total energy ... -2.359 eV per atom
Spin magnetization ... 1.9 μB per formula unit
N(E_F) ... 5.58 states/eV/cell
Crystal system ... tetragonal

Entry 17:
A geometry-optimized AlAg3Pd12 structure. Source: the Alexandria database, functional GGA-PBE.

a b c (Å): 4.0016 4.0016 15.6925
angles (deg): 90.00 90.00 90.00
Space group P4/mmm (No. 123)
Asymmetric unit:
Al1 0.0000 0.0000 0.0000
Ag1 0.0000 0.0000 0.2454
Ag2 0.0000 0.0000 0.5000
Pd1 0.0000 0.5000 0.1169
Pd2 0.0000 0.5000 0.3728
Pd3 0.5000 0.5000 0.0000
Pd4 0.5000 0.5000 0.2458
Pd5 0.5000 0.5000 0.5000

Calculated formation energy ... -0.156 eV/atom
Electronic total energy ... -4.820 eV per atom
Spin magnetization ... 0.0 μB per formula unit
N(E_F) ... 19.38 states/eV/cell
Crystal system ... tetragonal

Entry 18:
A geometry-optimized SrGa3Hg structure. Source: the Alexandria database, functional GGA-PBE.

a b c (Å): 6.3229 6.3359 11.5989
angles (deg): 90.00 90.00 90.00
Space group Fmm2 (No. 42)
Asymmetric unit:
Sr1 0.0000 0.0000 0.0000
Ga1 0.0000 0.0000 0.3837
Ga2 0.2500 0.2500 0.2583
Hg1 0.0000 0.0000 0.6138

Calculated formation energy ... -0.373 eV/atom
Electronic total energy ... -2.585 eV per atom
Spin magnetization ... 0.0 μB per formula unit
N(E_F) ... 6.79 states/eV/cell
Crystal system ... orthorhombic
Relative energy among the computed polymorphs ... 0.000 eV/atom

Entry 19:
A geometry-optimized Ag3BiBr6 structure. Source: the Alexandria database, functional GGA-PBE.

a b c (Å): 11.1638 11.1638 11.1638
angles (deg): 90.00 90.00 90.00
Space group Fm-3m (No. 225)
Asymmetric unit:
Ag1 0.0000 0.0000 0.0000
Ag2 0.2500 0.2500 0.2500
Bi1 0.0000 0.0000 0.5000
Br1 0.0000 0.0000 0.2462

Electronic total energy ... -2.395 eV per atom
Spin magnetization ... 0.0 μB per formula unit
N(E_F) ... 3.90 states/eV/cell
Crystal system ... cubic
Relative energy among the computed polymorphs ... 0.312 eV/atom

Entry 20:
A geometry-optimized LiZrPbAu structure. Source: the Alexandria database, functional GGA-PBE.

a b c (Å): 6.9128 6.9128 6.9128
angles (deg): 90.00 90.00 90.00
Space group F-43m (No. 216)
Asymmetric unit:
Li1 0.0000 0.0000 0.0000
Zr1 0.0000 0.0000 0.5000
Pb1 0.2500 0.2500 0.2500
Au1 0.2500 0.2500 0.7500

Calculated formation energy ... -0.308 eV/atom
Electronic total energy ... -4.670 eV per atom
Spin magnetization ... 0.0 μB per formula unit
N(E_F) ... 10.69 states/eV/cell
Crystal system ... cubic

Entry 21:
A geometry-optimized Nb5Mo5W2 structure. Source: the Alexandria database, functional GGA-PBE.

a b c (Å): 9.6763 4.5524 9.6920
angles (deg): 90.00 109.49 90.00
Space group C2/m (No. 12)
Asymmetric unit:
Nb1 0.0000 0.0000 0.0000
Nb2 0.1639 0.0000 0.5018
Nb3 0.2483 0.5000 0.7511
Mo1 0.0000 0.5000 0.5000
Mo2 0.0808 0.5000 0.2475
Mo3 0.1683 0.5000 0.0018
W1 0.0825 0.0000 0.7537

Calculated formation energy ... -0.092 eV/atom
Electronic total energy ... -10.960 eV per atom
Spin magnetization ... 0.0 μB per formula unit
N(E_F) ... 12.54 states/eV/cell
Crystal system ... monoclinic

Entry 22:
A geometry-optimized AlCuNi structure. Source: the Alexandria database, functional GGA-PBE.

a b c (Å): 5.5749 5.5749 5.5749
angles (deg): 90.00 90.00 90.00
Space group F-43m (No. 216)
Asymmetric unit:
Al1 0.0000 0.0000 0.0000
Cu1 0.0000 0.0000 0.5000
Ni1 0.2500 0.2500 0.7500

Calculated formation energy ... -0.077 eV/atom
Electronic total energy ... -4.617 eV per atom
Spin magnetization ... 0.0 μB per formula unit
N(E_F) ... 5.16 states/eV/cell
Crystal system ... cubic
Relative energy among the computed polymorphs ... 0.326 eV/atom

Entry 23:
A geometry-optimized YHoTeP structure. Source: the Alexandria database, functional GGA-PBE.

a b c (Å): 4.0689 4.0689 21.6405
angles (deg): 90.00 90.00 120.00
Space group R3m (No. 160, hexagonal axes)
Asymmetric unit:
Y1 0.0000 0.0000 0.0000
Ho1 0.0000 0.0000 0.8059
Te1 0.0000 0.0000 0.2353
P1 0.0000 0.0000 0.4057

Electronic total energy ... -6.429 eV per atom
Spin magnetization ... 0.0 μB per formula unit
N(E_F) ... 7.56 states/eV/cell
Crystal system ... trigonal

Entry 24:
A geometry-optimized RbLiIn2W structure. Source: the Alexandria database, functional GGA-PBE.

a b c (Å): 5.4151 5.4151 5.5028
angles (deg): 90.00 90.00 90.00
Space group P4/mmm (No. 123)
Asymmetric unit:
Rb1 0.0000 0.0000 0.0000
Li1 0.5000 0.5000 0.0000
In1 0.0000 0.5000 0.5000
W1 0.5000 0.5000 0.5000

Calculated formation energy ... 0.686 eV/atom
Electronic total energy ... -3.576 eV per atom
Spin magnetization ... 2.0 μB per formula unit
N(E_F) ... 3.29 states/eV/cell
Crystal system ... tetragonal

Entry 25:
A geometry-optimized ZrCr4Tc structure. Source: the Alexandria database, functional GGA-PBE.

a b c (Å): 6.9344 6.9344 6.9344
angles (deg): 90.00 90.00 90.00
Space group F-43m (No. 216)
Asymmetric unit:
Zr1 0.0000 0.0000 0.0000
Cr1 0.1249 0.1249 0.6249
Tc1 0.2500 0.2500 0.2500

Calculated formation energy ... 0.044 eV/atom
Electronic total energy ... -9.524 eV per atom
Spin magnetization ... 0.0 μB per formula unit
N(E_F) ... 38.80 states/eV/cell
Crystal system ... cubic

Entry 26:
A geometry-optimized ScPWCl2 structure. Source: the Alexandria database, functional GGA-PBE.

a b c (Å): 4.6890 4.6890 5.5398
angles (deg): 90.00 90.00 90.00
Space group P4/mmm (No. 123)
Asymmetric unit:
Sc1 0.0000 0.0000 0.0000
P1 0.0000 0.0000 0.5000
W1 0.5000 0.5000 0.5000
Cl1 0.0000 0.5000 0.0000

Electronic total energy ... -5.383 eV per atom
Spin magnetization ... 4.0 μB per formula unit
N(E_F) ... 4.36 states/eV/cell
Crystal system ... tetragonal
Relative energy among the computed polymorphs ... 0.142 eV/atom